Below is a geometry-optimized KScSe2 structure, with properties calculated at the PBE level.

Cell and atoms, written as CIF:
```
data_KScSe2
_cell_length_a 4.6263
_cell_length_b 23.0408
_cell_length_c 5.2168
_cell_angle_alpha 90.00
_cell_angle_beta 90.00
_cell_angle_gamma 90.00
_space_group_name_H-M_alt 'C m c m'
_space_group_IT_number 63
_space_group_name_Hall '-C 2c 2'
loop_
_atom_site_label
_atom_site_type_symbol
_atom_site_fract_x
_atom_site_fract_y
_atom_site_fract_z
_atom_site_occupancy
K1 K 0.0000 0.1810 0.2500 1
Sc1 Sc 0.0000 0.4331 0.2500 1
Se1 Se 0.0000 0.3266 0.2500 1
Se2 Se 0.0000 0.4483 0.7500 1
```

Its size of the total moment is 0.000 Bohr magnetons per cell. The calculated total energy comes out at -77.1 eV per cell. The calculation puts the density of states at the Fermi level at 0.0 states/eV/cell. As for the calculated density: 2.89 Mg/m³. The formation energy from raw total energies comes out at -4.872 eV per formula unit.